[1]
{
  "formula": "Sr2SmPbSe4",
  "functional": "GGA-PBE",
  "state": "optimized geometry",
  "m_tot_mub_per_cell": 0.0,
  "crystal_system": "monoclinic",
  "e_form_raw_ev_per_atom": -1.57,
  "lattice": [[7.542, 0.000, 0.000], [0.000, 4.348, 0.000], [-2.521, 0.000, 7.168]],
  "species": ["Sr", "Sr", "Sm", "Pb", "Se", "Se", "Se", "Se"],
  "frac_coords": [[0.000, 0.000, 0.000], [0.000, 0.500, 0.500], [0.500, 0.000, 0.500], [0.500, 0.500, 0.000], [0.258, 0.000, 0.744], [0.261, 0.500, 0.260], [0.739, 0.500, 0.740], [0.742, 0.000, 0.256]]
}


[2]
{
  "formula": "RbMn2GeBr8",
  "functional": "GGA-PBE",
  "state": "optimized geometry",
  "m_tot_mub_per_cell": 9.0,
  "crystal_system": "trigonal",
  "e_form_raw_ev_per_atom": -0.82,
  "lattice": [[6.926, 0.000, 0.000], [-3.463, 5.998, 0.000], [0.000, 0.000, 9.810]],
  "species": ["Rb", "Mn", "Mn", "Ge", "Br", "Br", "Br", "Br", "Br", "Br", "Br", "Br"],
  "frac_coords": [[0.000, 0.000, 0.000], [0.333, 0.667, 0.734], [0.667, 0.333, 0.266], [0.000, 0.000, 0.500], [0.004, 0.687, 0.333], [0.313, 0.317, 0.333], [0.317, 0.004, 0.667], [0.333, 0.667, 0.978], [0.667, 0.333, 0.022], [0.683, 0.996, 0.333], [0.687, 0.683, 0.667], [0.996, 0.313, 0.667]]
}


[3]
{
  "formula": "BeTe2P",
  "functional": "GGA-PBE",
  "state": "optimized geometry",
  "m_tot_mub_per_cell": 0.0,
  "crystal_system": "monoclinic",
  "e_form_raw_ev_per_atom": 0.27,
  "de_polymorph_ev_per_atom": 0.236,
  "lattice": [[6.741, 0.000, 0.000], [0.000, 3.855, 0.000], [-2.123, 0.000, 6.487]],
  "species": ["Be", "Be", "Te", "Te", "Te", "Te", "P", "P"],
  "frac_coords": [[0.000, 0.000, 0.000], [0.500, 0.500, 0.000], [0.243, 0.500, 0.228], [0.257, 0.000, 0.772], [0.743, 0.000, 0.228], [0.757, 0.500, 0.772], [0.000, 0.500, 0.500], [0.500, 0.000, 0.500]]
}


[4]
{
  "formula": "Y5Ho3Tm4",
  "functional": "GGA-PBE",
  "state": "optimized geometry",
  "m_tot_mub_per_cell": 0.5,
  "delta_e_f_ev_per_atom": 0.251,
  "crystal_system": "monoclinic",
  "de_polymorph_ev_per_atom": 0.224,
  "lattice": [[8.030, -2.907, 0.000], [8.030, 2.907, 0.000], [-4.131, 0.000, 8.217]],
  "species": ["Y", "Y", "Y", "Y", "Y", "Ho", "Ho", "Ho", "Tm", "Tm", "Tm", "Tm"],
  "frac_coords": [[0.000, 0.000, 0.000], [0.326, 0.326, 0.614], [0.424, 0.424, 0.297], [0.576, 0.576, 0.703], [0.674, 0.674, 0.386], [0.208, 0.208, 0.229], [0.500, 0.500, 0.000], [0.792, 0.792, 0.771], [0.080, 0.080, 0.439], [0.214, 0.214, 0.878], [0.786, 0.786, 0.122], [0.920, 0.920, 0.561]]
}


[5]
{
  "formula": "SrPuIn2O8",
  "functional": "GGA-PBE",
  "state": "optimized geometry",
  "m_tot_mub_per_cell": 1.9,
  "crystal_system": "monoclinic",
  "e_form_raw_ev_per_atom": -1.90,
  "lattice": [[5.053, 0.000, 0.000], [0.000, 7.016, 0.000], [-0.008, 0.000, 5.066]],
  "species": ["Sr", "Pu", "In", "In", "O", "O", "O", "O", "O", "O", "O", "O"],
  "frac_coords": [[0.000, 0.000, 0.000], [0.000, 0.500, 0.000], [0.500, 0.262, 0.500], [0.500, 0.738, 0.500], [0.195, 0.296, 0.181], [0.195, 0.704, 0.181], [0.293, 0.500, 0.695], [0.318, 0.000, 0.642], [0.682, 0.000, 0.358], [0.707, 0.500, 0.305], [0.805, 0.296, 0.819], [0.805, 0.704, 0.819]]
}


[6]
{
  "formula": "YInNi2Ag",
  "functional": "GGA-PBE",
  "state": "optimized geometry",
  "m_tot_mub_per_cell": 0.0,
  "delta_e_f_ev_per_atom": 0.569,
  "crystal_system": "tetragonal",
  "lattice": [[4.771, 0.000, 0.000], [0.000, 4.771, 0.000], [0.000, 0.000, 4.914]],
  "species": ["Y", "In", "Ni", "Ni", "Ag"],
  "frac_coords": [[0.000, 0.000, 0.000], [0.500, 0.500, 0.000], [0.000, 0.500, 0.500], [0.500, 0.000, 0.500], [0.500, 0.500, 0.500]]
}